{"formula": "TiSnI2O", "functional": "meta-GGA SCAN", "state": "PBEsol geometry", "lattice": [[5.9645, 0.0000, 0.0000], [0.0000, 5.9645, 0.0000], [0.0000, 0.0000, 3.9742]], "species": ["Ti", "Sn", "I", "I", "O"], "frac_coords": [[0.0000, 0.0000, 0.0000], [0.5000, 0.5000, 0.5000], [0.0000, 0.5000, 0.5000], [0.5000, 0.0000, 0.5000], [0.5000, 0.5000, 0.0000]], "e_tot_ev_per_atom": -26.401, "dos_ef_per_ev_atom": 0.54, "e_form_raw_ev_per_atom": -0.068, "spacegroup": "P4/mmm, No. 123"}

{"formula": "ZnSnIO2", "functional": "meta-GGA SCAN", "state": "PBEsol geometry", "lattice": [[4.1724, 0.0000, 0.0000], [0.0000, 4.1724, 0.0000], [0.0000, 0.0000, 5.2814]], "species": ["Zn", "Sn", "I", "O", "O"], "frac_coords": [[0.0000, 0.0000, 0.0000], [0.5000, 0.5000, 0.5000], [0.0000, 0.0000, 0.5000], [0.0000, 0.5000, 0.0000], [0.5000, 0.0000, 0.0000]], "e_tot_ev_per_atom": -19.786, "dos_ef_per_ev_atom": 0.22, "e_form_raw_ev_per_atom": -0.058, "spacegroup": "P4/mmm, No. 123"}